This record from Alexandria describes Ba2MgTcH6 after structural relaxation. The functional is PBE.

Total moment ... 0.71 μB/f.u.
Electronic total energy ... -0.289 Ry per atom

Cell and atoms, written as CIF:
```
data_Ba2MgTcH6
_cell_length_a 5.8631
_cell_length_b 5.8631
_cell_length_c 5.1136
_cell_angle_alpha 90.00
_cell_angle_beta 90.00
_cell_angle_gamma 120.00
_symmetry_space_group_name_H-M 'P -3 m 1'
_symmetry_Int_Tables_number 164
_symmetry_space_group_name_Hall '-P 3 2"'
loop_
_atom_site_label
_atom_site_fract_x
_atom_site_fract_y
_atom_site_fract_z
Ba1 0.3333 0.6667 0.2967
Mg1 0.0000 0.0000 0.0000
Tc1 0.0000 0.0000 0.5000
H1 0.1464 0.2928 0.7072
```

This record from Alexandria describes MnCo2Re after structural relaxation. The functional is PBE.

ΔE to the lowest computed polymorph ... 28 meV per atom
Total moment ... 1.78 μB/f.u.

Cell and atoms, written as CIF:
```
data_MnCo2Re
_cell_length_a 2.5717
_cell_length_b 3.6273
_cell_length_c 5.0744
_cell_angle_alpha 90.00
_cell_angle_beta 90.00
_cell_angle_gamma 90.00
_symmetry_space_group_name_H-M 'P m m m'
_symmetry_Int_Tables_number 47
loop_
_symmetry_equiv_pos_as_xyz
'x,y,z'
'-x,-y,-z'
'-x,-y,z'
'x,y,-z'
'x,-y,-z'
'-x,y,z'
'-x,y,-z'
'x,-y,z'
loop_
_atom_site_label
_atom_site_fract_x
_atom_site_fract_y
_atom_site_fract_z
Mn1 0.0000 0.0000 0.0000
Co1 0.5000 0.5000 0.2446
Re1 0.0000 0.0000 0.5000
```

This record from Alexandria describes TaPt2F after structural relaxation. The functional is PBE.

ΔE to the lowest computed polymorph ... 0 meV per atom
Total moment ... 0.00 μB/f.u.

Cell and atoms, written as CIF:
```
data_TaPt2F
_cell_length_a 7.0791
_cell_length_b 7.0791
_cell_length_c 5.2349
_cell_angle_alpha 90.00
_cell_angle_beta 90.00
_cell_angle_gamma 90.00
_symmetry_space_group_name_H-M 'I -4 2 d'
_symmetry_Int_Tables_number 122
_symmetry_space_group_name_Hall 'I -4 2bw'
loop_
_atom_site_label
_atom_site_fract_x
_atom_site_fract_y
_atom_site_fract_z
Ta1 0.0000 0.0000 0.0000
Pt1 0.2424 0.7500 0.1250
F1 0.0000 0.0000 0.5000
```

This record from Alexandria describes Y2AlRe after structural relaxation. The functional is PBE.

Total moment ... 0.00 μB/f.u.
Electronic total energy ... -0.541 Ry per atom

Cell and atoms, written as CIF:
```
data_Y2AlRe
_cell_length_a 4.3294
_cell_length_b 3.9064
_cell_length_c 11.1186
_cell_angle_alpha 90.00
_cell_angle_beta 90.00
_cell_angle_gamma 90.00
_symmetry_space_group_name_H-M 'A m m 2'
_symmetry_Int_Tables_number 38
loop_
_symmetry_equiv_pos_as_xyz
'x,y,z'
'-x,-y,z'
'-x,y,z'
'x,-y,z'
'x,y+1/2,z+1/2'
'-x,-y+1/2,z+1/2'
'-x,y+1/2,z+1/2'
'x,-y+1/2,z+1/2'
loop_
_atom_site_label
_atom_site_fract_x
_atom_site_fract_y
_atom_site_fract_z
Y1 0.0000 0.0000 0.0000
Y2 0.5000 0.0000 0.2923
Al1 0.5000 0.0000 0.5854
Re1 0.0000 0.0000 0.7075
```